{"formula": "Pu4CuPtRh2", "functional": "PBE", "state": "relaxed", "magmom_total_mub_per_cell": 21.4, "formation_enthalpy_0k_ev_per_atom": -0.37, "lattice_angstrom": [[-4.487, -1.937, 0.300], [-2.200, -1.716, -4.024], [0.974, -8.432, 0.084]], "species": ["Pu", "Pu", "Cu", "Pu", "Pt", "Pu", "Rh", "Rh"], "frac_coords": [[0.875, 0.875, 0.376], [0.625, 0.625, 0.126], [0.000, 0.000, 0.000], [0.375, 0.375, 0.874], [0.500, 0.500, 0.500], [0.125, 0.125, 0.624], [0.747, 0.747, 0.760], [0.253, 0.253, 0.240]]}